Record 1
RbTl2SCl | PBE | optimized geometry

extended XYZ file:
```
10
Lattice="4.0962 0.0000 0.0000 0.0000 7.9644 0.8923 0.0000 -0.3690 10.5761" Properties=species:S:1:pos:R:3 pbc="T T T"
Rb 3.0721 1.4886 10.7487
Rb 1.0240 6.1069 0.7197
Tl 1.0240 5.2086 4.5123
Tl 1.0240 0.7154 3.8873
Tl 3.0721 6.8801 7.5811
Tl 3.0721 2.3869 6.9561
S 3.0721 7.0850 3.3506
S 1.0240 0.5105 8.1178
Cl 3.0721 4.3657 9.2437
Cl 1.0240 3.2297 2.2247
```

Crystal system: monoclinic
D(E_F) in states/eV/f.u.: 0.00
ΔE_f (raw) in eV/atom: -0.87

Record 2
RbTlSCl2 | PBE | optimized geometry

extended XYZ file:
```
5
Lattice="5.5727 0.0000 0.0000 0.0000 5.5727 0.0000 0.0000 0.0000 5.0885" Properties=species:S:1:pos:R:3 pbc="T T T"
Tl 0.0000 0.0000 0.0000
S 0.0000 0.0000 2.5442
Rb 2.7864 2.7864 2.5442
Cl 0.0000 2.7864 0.0000
Cl 2.7864 0.0000 0.0000
```

Crystal system: tetragonal
D(E_F) in states/eV/f.u.: 4.80
ΔE_f (raw) in eV/atom: -0.84
Offset from the most stable computed form in eV/atom: 0.0000

Record 3
Rb3U2S5Cl2 | PBE | optimized geometry

extended XYZ file:
```
12
Lattice="-1.7085 4.8451 1.0616 -4.9378 -1.5552 -0.8489 2.0974 -4.9767 13.1272" Properties=species:S:1:pos:R:3 pbc="T T T"
Rb -0.4446 -1.2086 4.8007
Rb -4.1042 -0.4781 8.5392
Rb 0.0000 0.0000 0.0000
U -0.9932 -2.6997 10.7234
U -3.5556 1.0130 2.6165
S -1.0927 1.7743 3.1055
S -3.4561 -3.4611 10.2345
S -2.7074 -1.4258 2.1502
S -1.8415 -0.2610 11.1897
S -3.3231 1.6450 0.1064
Cl -3.8033 0.3398 5.2904
Cl -0.7455 -2.0266 8.0495
```

Crystal system: tetragonal
D(E_F) in states/eV/f.u.: 13.89
ΔE_f (raw) in eV/atom: -1.53

Record 4
Rb2USCl5 | PBE | optimized geometry

extended XYZ file:
```
9
Lattice="-3.0988 -4.6848 5.0435 5.5320 -2.3226 -4.5815 4.5026 5.6493 2.1909" Properties=species:S:1:pos:R:3 pbc="T T T"
Rb 3.2147 1.3153 3.0186
Rb 3.7294 -2.6707 -0.3676
U 9.9535 3.2997 -2.3712
S 7.7248 2.5609 -1.8403
Cl 0.9573 -1.4876 1.8966
Cl 5.9996 0.1364 0.7514
Cl 5.2886 -0.3521 -2.9129
Cl 4.7672 3.6857 0.5173
Cl 2.3404 0.7759 -0.5576
```

Crystal system: tetragonal
ΔE_f (raw) in eV/atom: -1.75

Record 5
Rb2WSCl5 | PBE | optimized geometry

extended XYZ file:
```
9
Lattice="7.2067 -0.0108 -0.0156 -3.4314 6.3374 0.0156 -3.4314 -2.2421 5.9275" Properties=species:S:1:pos:R:3 pbc="T T T"
Rb 0.1379 -0.0823 4.4712
Rb 0.1379 4.2074 1.5153
W -6.7128 4.0058 5.8133
S -5.2232 3.1169 4.5233
Cl 1.7088 0.9575 1.3896
Cl -1.4275 3.1643 4.5922
Cl -3.4627 4.3788 1.4052
Cl -3.4627 -0.2462 4.5922
Cl -1.5965 0.9527 1.3826
```

Crystal system: tetragonal
ΔE_f (raw) in eV/atom: -1.31

Record 6
Rb2WSCl | PBE | optimized geometry

extended XYZ file:
```
5
Lattice="-2.4558 -6.1294 0.4289 4.2258 -1.7160 -0.3266 0.5987 0.2210 6.5861" Properties=species:S:1:pos:R:3 pbc="T T T"
S 0.0000 0.0000 0.0000
Rb 0.2994 0.1105 3.2931
Rb -1.2279 -3.0647 0.2144
W 2.1129 -0.8580 -0.1633
Cl 1.1843 -3.8122 3.3442
```

Crystal system: tetragonal
D(E_F) in states/eV/f.u.: 2.80
ΔE_f (raw) in eV/atom: -0.18

Record 7
Rb2WS2Cl4 | PBE | optimized geometry

extended XYZ file:
```
9
Lattice="6.1937 -0.2484 -0.1690 1.0631 7.0290 0.4524 1.0631 3.0017 6.3719" Properties=species:S:1:pos:R:3 pbc="T T T"
Rb 3.0118 6.7230 4.5739
Rb 5.3081 3.0593 2.0814
W 3.0968 -0.1242 -0.0845
S 1.9151 1.4662 0.9975
S 6.4049 8.3161 5.6578
Cl 2.7046 5.2104 1.2892
Cl 5.6153 6.6701 2.2822
Cl 5.6153 4.5719 5.3662
Cl 2.7046 3.1123 4.3731
```

Crystal system: monoclinic
ΔE_f (raw) in eV/atom: -1.09

Record 8
RbZn2SCl | PBE | optimized geometry

extended XYZ file:
```
5
Lattice="7.1102 0.0000 0.0000 0.0000 6.4641 0.0000 0.0000 0.0000 7.1102" Properties=species:S:1:pos:R:3 pbc="T T T"
Zn 0.0000 0.0000 3.5551
Zn 3.5551 0.0000 0.0000
S 0.0000 3.2320 0.0000
Rb 0.0000 0.0000 0.0000
Cl 3.5551 3.2320 3.5551
```

Crystal system: tetragonal
D(E_F) in states/eV/f.u.: 11.75
ΔE_f (raw) in eV/atom: 0.56

Record 9
Rb2ZnSCl6 | PBE | optimized geometry

extended XYZ file:
```
10
Lattice="7.7405 0.0000 0.0000 0.0000 7.7405 0.0000 3.8703 3.8703 4.5469" Properties=species:S:1:pos:R:3 pbc="T T T"
Zn 0.0000 0.0000 0.0000
S 3.8703 3.8703 0.0000
Rb 7.7405 3.8703 2.2735
Rb 3.8703 7.7405 2.2735
Cl 3.8703 3.8703 2.1579
Cl 7.7405 7.7405 2.3890
Cl 1.7280 1.7280 0.0000
Cl 6.0125 6.0125 0.0000
Cl 6.0125 1.7280 0.0000
Cl 1.7280 6.0125 0.0000
```

Crystal system: tetragonal
D(E_F) in states/eV/f.u.: 0.05
ΔE_f (raw) in eV/atom: -0.96

Record 10
RbZrS2Cl | PBE | optimized geometry

extended XYZ file:
```
5
Lattice="5.3780 0.0000 0.0000 0.0000 5.3780 0.0000 0.0000 0.0000 5.4372" Properties=species:S:1:pos:R:3 pbc="T T T"
S 0.0000 2.6890 0.0000
S 2.6890 0.0000 0.0000
Rb 0.0000 0.0000 0.0000
Zr 2.6890 2.6890 2.7186
Cl 0.0000 0.0000 2.7186
```

Crystal system: tetragonal
D(E_F) in states/eV/f.u.: 4.66
ΔE_f (raw) in eV/atom: 0.79
Offset from the most stable computed form in eV/atom: 2.2948

Record 11
RbZrSCl2 | PBE | optimized geometry

extended XYZ file:
```
5
Lattice="5.1835 0.0000 0.0000 0.0000 5.1835 0.0000 0.0000 0.0000 5.0196" Properties=species:S:1:pos:R:3 pbc="T T T"
S 0.0000 0.0000 2.5098
Rb 2.5918 2.5918 2.5098
Zr 0.0000 0.0000 0.0000
Cl 0.0000 2.5918 0.0000
Cl 2.5918 0.0000 0.0000
```

Crystal system: tetragonal
D(E_F) in states/eV/f.u.: 1.49
ΔE_f (raw) in eV/atom: -1.58
Offset from the most stable computed form in eV/atom: 0.0000

Record 12
Rb2ZrSCl6 | PBE | optimized geometry

extended XYZ file:
```
10
Lattice="-3.2034 -6.7061 4.0046 5.2367 -5.0554 -4.2768 4.1380 -5.4169 3.1375" Properties=species:S:1:pos:R:3 pbc="T T T"
S 1.0166 -5.8808 -0.1361
Rb 0.9756 -9.0019 3.5030
Rb 5.1956 -8.1765 -0.6377
Zr 0.0000 0.0000 0.0000
Cl 2.5156 -5.6580 1.4360
Cl 3.6556 -11.5204 1.4293
Cl 0.4288 -2.4804 -0.0574
Cl 1.6045 -9.2811 -0.2148
Cl -1.4235 -6.3580 2.2582
Cl 3.4567 -5.4035 -2.5303
```

Crystal system: tetragonal
D(E_F) in states/eV/f.u.: 0.00
ΔE_f (raw) in eV/atom: -1.39

Record 13
RbZrSCl2 | PBE | optimized geometry

extended XYZ file:
```
5
Lattice="5.5771 0.0000 0.0000 0.0000 5.5771 0.0000 0.0000 0.0000 5.5464" Properties=species:S:1:pos:R:3 pbc="T T T"
S 0.0000 0.0000 2.7732
Rb 0.0000 0.0000 0.0000
Zr 2.7886 2.7886 2.7732
Cl 0.0000 2.7886 0.0000
Cl 2.7886 0.0000 0.0000
```

Crystal system: tetragonal
D(E_F) in states/eV/f.u.: 4.77
ΔE_f (raw) in eV/atom: 0.35
Offset from the most stable computed form in eV/atom: 1.9286

Record 14
RbZrS2Cl | PBE | optimized geometry

extended XYZ file:
```
5
Lattice="-3.9658 2.3798 2.0089 -3.1083 -2.8224 -2.7927 -0.2016 -3.5767 3.8392" Properties=species:S:1:pos:R:3 pbc="T T T"
S -1.5542 -1.4112 -1.3963
S -1.9829 1.1899 1.0044
Rb -3.6378 -2.0096 1.5277
Zr 0.0000 0.0000 0.0000
Cl -0.1008 -1.7884 1.9196
```

Crystal system: tetragonal
D(E_F) in states/eV/f.u.: 0.54
ΔE_f (raw) in eV/atom: -1.51
Offset from the most stable computed form in eV/atom: 0.0000

Record 15
RbSbCl6 | PBE | optimized geometry

extended XYZ file:
```
16
Lattice="-3.7344 6.0564 -0.2694 -4.5740 0.4700 5.4365 7.4497 6.0391 7.0088" Properties=species:S:1:pos:R:3 pbc="T T T"
Rb 1.8389 10.4926 5.0824
Rb -2.6976 2.0729 7.0936
Sb 1.8576 6.0477 3.3697
Sb -2.2870 0.2350 2.7183
Cl -0.4434 6.4726 8.0194
Cl -0.4153 6.0929 4.1566
Cl 3.0499 7.3843 9.4260
Cl -3.9086 5.1811 2.7499
Cl 2.6032 7.0861 5.4228
Cl -3.4619 5.4794 6.7532
Cl 0.5449 10.3757 8.3407
Cl -1.4036 2.1898 3.8353
Cl -6.7999 5.3972 4.5624
Cl 5.9412 7.1683 7.6136
Cl 2.1750 3.8731 4.3908
Cl -3.0337 8.6924 7.7852
```

Crystal system: monoclinic
D(E_F) in states/eV/f.u.: 0.00
ΔE_f (raw) in eV/atom: -1.06
Offset from the most stable computed form in eV/atom: 0.0000

Record 16
RbSb2Cl | PBE | optimized geometry

extended XYZ file:
```
8
Lattice="-2.0144 -2.1695 -3.3105 3.4917 -2.7234 -0.3399 -6.9890 -13.8763 10.3676" Properties=species:S:1:pos:R:3 pbc="T T T"
Sb -2.4632 -5.0506 0.6556
Sb 0.0766 -5.5572 1.7903
Sb -4.5029 -12.3862 6.3888
Sb -4.1340 -14.5443 4.5996
Rb 0.0000 0.0000 0.0000
Rb -4.1324 -9.2461 2.6159
Cl 0.7386 -2.4465 -1.8252
Cl -1.3793 -9.5230 4.1012
```

Crystal system: tetragonal
D(E_F) in states/eV/f.u.: 2.03
ΔE_f (raw) in eV/atom: -0.62
Offset from the most stable computed form in eV/atom: 0.0000

Record 17
RbSb2Cl6 | PBE | optimized geometry

extended XYZ file:
```
9
Lattice="-2.7791 2.7738 5.5903 0.0583 -6.6825 3.3448 5.8827 4.5611 0.6614" Properties=species:S:1:pos:R:3 pbc="T T T"
Rb 0.0000 0.0000 0.0000
Sb 0.6102 -1.5477 5.2455
Sb 2.5517 2.2001 4.3510
Cl 1.8090 0.6108 6.4855
Cl 5.1010 1.1382 4.4303
Cl 2.9722 -2.9715 5.4111
Cl -1.9391 -0.4858 5.1662
Cl 1.3529 0.0417 3.1110
Cl 0.1897 3.6239 4.1854
```

Crystal system: trigonal
D(E_F) in states/eV/f.u.: 3.39
ΔE_f (raw) in eV/atom: -0.95
Offset from the most stable computed form in eV/atom: 0.0551

Record 18
Rb2SbCl4 | PBE | optimized geometry

extended XYZ file:
```
7
Lattice="-4.2303 5.2513 -1.9222 4.4865 -0.5413 -5.3615 -3.4925 -5.9625 1.1908" Properties=species:S:1:pos:R:3 pbc="T T T"
Sb 0.1281 2.3550 -3.6418
Rb -3.7974 0.8219 -2.1866
Rb 0.5610 -2.0744 -3.9063
Cl -1.4999 0.6065 -4.8231
Cl -1.7367 -1.8651 -1.2604
Cl -1.9805 3.7594 -2.8145
Cl 2.2370 0.9567 -4.4786
```

Crystal system: tetragonal
ΔE_f (raw) in eV/atom: -1.37

Record 19
Rb8Sb2Cl | PBE | optimized geometry

extended XYZ file:
```
11
Lattice="6.3582 0.0000 0.0000 -3.1791 9.7154 -1.8321 0.0000 0.0310 11.0824" Properties=species:S:1:pos:R:3 pbc="T T T"
Sb 3.1791 4.7606 7.3948
Sb 0.0000 4.9859 1.8555
Rb 0.0000 8.4682 1.4125
Rb 3.1791 4.1763 0.0805
Rb 3.1791 5.8076 3.7733
Rb 3.1791 8.2216 7.8243
Rb 0.0000 3.9389 5.4769
Rb 0.0000 5.5701 9.1697
Rb 3.1791 1.2783 7.8378
Rb 0.0000 1.5249 1.4259
Cl 3.1791 0.0000 0.0000
```

Crystal system: monoclinic
D(E_F) in states/eV/f.u.: 2.44
ΔE_f (raw) in eV/atom: -0.53

Record 20
RbSb2Cl2 | PBE | optimized geometry

extended XYZ file:
```
5
Lattice="-3.7101 2.0145 0.4771 -2.0262 -3.7343 0.0115 -1.9702 -1.3196 9.1691" Properties=species:S:1:pos:R:3 pbc="T T T"
Sb -4.2742 -0.0825 4.9452
Sb -3.4322 -2.9569 4.7124
Rb 0.0000 0.0000 0.0000
Cl -2.6860 -0.9531 2.0545
Cl -5.0204 -2.0863 7.6031
```

Crystal system: tetragonal
D(E_F) in states/eV/f.u.: 4.30
ΔE_f (raw) in eV/atom: -0.68
Offset from the most stable computed form in eV/atom: 0.0000